Pm2PrCd3 | the Alexandria database | PBE | optimized geometry; formation energy = -318 meV/atom; ΔE to the lowest computed polymorph = 2.2 meV per atom
1.0
3.843 0.000 0.000
0.000 3.843 0.000
0.000 0.000 11.593
Cd Pm Pr
3 2 1
direct
0.000 0.000 0.000
0.000 0.000 0.672
0.000 0.000 0.328
0.500 0.500 0.835
0.500 0.500 0.165
0.500 0.500 0.500

=====

TbMgIn6 | the Alexandria database | PBE | optimized geometry; formation energy = -190 meV/atom
1.0
-3.862 2.449 0.253
-1.739 -3.308 5.473
3.105 4.513 3.731
In Mg Tb
6 1 1
direct
0.000 0.746 0.746
0.000 0.746 0.254
0.500 0.500 0.000
0.000 0.254 0.746
0.000 0.254 0.254
0.500 0.000 0.500
0.500 0.500 0.500
0.500 0.000 0.000

=====

PrMg2Au3 | the Alexandria database | PBE | optimized geometry; formation energy = -601 meV/atom; ΔE to the lowest computed polymorph = 77.7 meV per atom
1.0
5.859 0.000 0.000
0.000 6.950 -0.437
0.000 -1.824 6.720
Au Pr Mg
6 2 4
direct
0.750 0.040 0.040
0.750 0.186 0.466
0.750 0.466 0.186
0.250 0.960 0.960
0.250 0.534 0.814
0.250 0.814 0.534
0.250 0.334 0.334
0.750 0.666 0.666
0.000 0.794 0.206
0.500 0.206 0.794
0.000 0.206 0.794
0.500 0.794 0.206

=====

NbTlSe2 | the Alexandria database | PBE | optimized geometry; total energy = -22.295 eV for the cell shown
1.0
3.522 -0.001 0.002
-1.761 3.051 0.000
-1.743 1.073 8.852
Nb Tl Se
1 1 2
direct
0.320 0.230 0.794
0.161 0.399 0.302
0.594 0.963 0.606
0.713 0.830 0.983

=====

TmTi3Ga2 | the Alexandria database | PBE | optimized geometry; formation energy = -288 meV/atom
1.0
4.055 0.000 0.000
-2.027 8.080 -0.166
0.000 -3.797 7.165
Ti Ga Tm
6 4 2
direct
0.593 0.186 0.685
0.407 0.814 0.315
0.311 0.622 0.518
0.949 0.897 0.597
0.689 0.378 0.482
0.051 0.103 0.403
0.520 0.040 0.164
0.215 0.429 0.738
0.480 0.960 0.836
0.785 0.571 0.262
0.865 0.729 0.930
0.135 0.271 0.070

=====

PmLuP2 | the Alexandria database | PBE | optimized geometry; formation energy = -1019 meV/atom
1.0
4.923 0.000 0.000
2.462 4.264 0.000
2.462 1.421 4.020
Pm P Lu
1 2 1
direct
0.500 0.500 0.500
0.750 0.750 0.750
0.250 0.250 0.250
0.000 0.000 0.000